No. 1
DFT (PBE) results for PmFe2B2 after structural relaxation.

**V**: 12.956 Å³ per atom
**Formation energy**: -0.387 eV per atom
**Total magnetic moment**: 2.57 μB per cell
**Total energy**: -7.393 eV/atom

Structure (CIF):
```
data_PmFe2B2
_cell_length_a 3.643
_cell_length_b 3.643
_cell_length_c 9.760
_cell_angle_alpha 90.00
_cell_angle_beta 90.00
_cell_angle_gamma 90.00
_space_group_name_H-M_alt 'I 4/m m m'
_space_group_IT_number 139
_space_group_name_Hall '-I 4 2'
loop_
_atom_site_label
_atom_site_fract_x
_atom_site_fract_y
_atom_site_fract_z
Pm1 0.000 0.000 0.000
Fe1 0.000 0.500 0.250
B1 0.000 0.000 0.333
```

No. 2
DFT (PBE) results for SrCa2CeIn4 after structural relaxation.

**V**: 30.015 Å³ per atom
**Formation energy**: -0.421 eV per atom
**Total magnetic moment**: 3.18 μB per cell
**Total energy**: -3.243 eV/atom

Structure (CIF):
```
data_SrCa2CeIn4
_cell_length_a 5.5337
_cell_length_b 5.5337
_cell_length_c 27.1631
_cell_angle_alpha 90.00
_cell_angle_beta 90.00
_cell_angle_gamma 120.00
_space_group_name_H-M_alt 'R -3 m'
_space_group_IT_number 166
_space_group_name_Hall '-R 3 2"'
loop_
_atom_site_label
_atom_site_fract_x
_atom_site_fract_y
_atom_site_fract_z
Sr1 0.0000 0.0000 0.0000
Ca1 0.0000 0.0000 0.2506
Ce1 0.0000 0.0000 0.5000
In1 0.0000 0.0000 0.1269
In2 0.0000 0.0000 0.3783
```

No. 3
DFT (PBE) results for ThTa2CoC4 after structural relaxation.

**V**: 12.323 Å³ per atom
**Formation energy**: -0.315 eV per atom
**Total magnetic moment**: 0.00 μB per cell
**Total energy**: -9.706 eV/atom

Structure (CIF):
```
data_ThTa2CoC4
_cell_length_a 3.277
_cell_length_b 11.080
_cell_length_c 10.861
_cell_angle_alpha 90.00
_cell_angle_beta 90.00
_cell_angle_gamma 90.00
_space_group_name_H-M_alt 'C m c m'
_space_group_IT_number 63
_space_group_name_Hall '-C 2c 2'
loop_
_atom_site_label
_atom_site_fract_x
_atom_site_fract_y
_atom_site_fract_z
Th1 0.000 0.101 0.250
Ta1 0.000 0.369 0.048
Co1 0.000 0.164 0.750
C1 0.000 0.000 0.000
C2 0.000 0.266 0.616
C3 0.000 0.425 0.250
```

No. 4
DFT (PBE) results for SrFeHg after structural relaxation.

**V**: 26.771 Å³ per atom
**Formation energy**: 0.189 eV per atom
**Total magnetic moment**: 2.49 μB per cell
**Total energy**: -3.293 eV/atom

Structure (CIF):
```
data_SrFeHg
_cell_length_a 4.5820
_cell_length_b 4.5820
_cell_length_c 4.4171
_cell_angle_alpha 90.00
_cell_angle_beta 90.00
_cell_angle_gamma 120.00
_space_group_name_H-M_alt 'P -6 m 2'
_space_group_IT_number 187
_space_group_name_Hall 'P -6 2'
loop_
_atom_site_label
_atom_site_fract_x
_atom_site_fract_y
_atom_site_fract_z
Sr1 0.0000 0.0000 0.0000
Fe1 0.6667 0.3333 0.5000
Hg1 0.3333 0.6667 0.5000
```

Please write out number 3 again, unchanged.
DFT (PBE) results for ThTa2CoC4 after structural relaxation.

**V**: 12.323 Å³ per atom
**Formation energy**: -0.315 eV per atom
**Total magnetic moment**: 0.00 μB per cell
**Total energy**: -9.706 eV/atom

Structure (CIF):
```
data_ThTa2CoC4
_cell_length_a 3.277
_cell_length_b 11.080
_cell_length_c 10.861
_cell_angle_alpha 90.00
_cell_angle_beta 90.00
_cell_angle_gamma 90.00
_space_group_name_H-M_alt 'C m c m'
_space_group_IT_number 63
_space_group_name_Hall '-C 2c 2'
loop_
_atom_site_label
_atom_site_fract_x
_atom_site_fract_y
_atom_site_fract_z
Th1 0.000 0.101 0.250
Ta1 0.000 0.369 0.048
Co1 0.000 0.164 0.750
C1 0.000 0.000 0.000
C2 0.000 0.266 0.616
C3 0.000 0.425 0.250
```

Which formula does entry 3 have? ThTa2CoC4

Which value of V does entry 1 give? 12.956 Å³ per atom

Number 4 is which compound? SrFeHg